Here is LaTeP after structural relaxation from the Alexandria database. Energies are from PBE.

Raw formation energy: -3.2 eV/f.u.
Density of states at the Fermi level: 0.78 states/eV/cell
Raw total energy: -5.563 eV/atom
Total moment: 0.0 μB/f.u.
V: 170.5 Å³/cell

Cell lengths 5.2611, 5.9817, 6.0504 Å; angles 82.91, 72.17, 70.18 degrees
Element x y z (fractional)
1 La 0.7346 0.9697 0.0702
2 La 0.7307 0.4723 0.5832
3 P 0.2775 0.4491 0.0230
4 P 0.8478 0.4452 0.0733
5 Te 0.4088 0.0561 0.6429
6 Te 0.2035 0.7380 0.3405